Here is an optimized crystal structure of ZnSbTe2H from Alexandria via LeMat-Bulk. Energies are from PBE-GGA.

The space group is P4/mmm (No. 123) and the conventional cell measures 5.4241, 5.4241 and 5.1952 Å, with angles of 90.00, 90.00 and 90.00 degrees. The distinct sites, in fractional coordinates, are Zn at (0.0000, 0.0000, 0.0000), Sb at (0.0000, 0.0000, 0.5000), Te at (0.0000, 0.5000, 0.0000) and H at (0.5000, 0.5000, 0.5000).

The mass density is 4.8 g cm⁻³. For the energy, the calculation gives -0.1576 Ry per atom. The energy above the lowest structure with this stoichiometry comes out at 417.7 meV/atom. For the total magnetic moment, the calculation gives 1.043 Bohr magnetons per cell. The calculated volume comes out at 152.8 Å³ per cell.

=====

Here is an optimized crystal structure of LaPuPSe from Alexandria via LeMat-Bulk. Energies are from PBE-GGA.

The space group is R3m (No. 160, hexagonal axes) and the conventional cell measures 4.1859, 4.1859 and 20.6056 Å, with angles of 90.00, 90.00 and 120.00 degrees. The distinct sites, in fractional coordinates, are La at (0.0000, 0.0000, 0.0000), Pu at (0.0000, 0.0000, 0.4902), P at (0.0000, 0.0000, 0.7498) and Se at (0.0000, 0.0000, 0.2402).

The mass density is 7.9 g cm⁻³. For the energy, the calculation gives -0.6354 Ry per atom. For the total magnetic moment, the calculation gives 16.524 Bohr magnetons per cell. As for the formation energy from raw total energies: -1607 meV/atom. The calculated volume comes out at 312.7 Å³ per cell.

=====

Here is an optimized crystal structure of AlSbI2N from Alexandria via LeMat-Bulk. Energies are from PBE-GGA.

The space group is P4/mmm (No. 123) and the conventional cell measures 6.2935, 6.2935 and 4.0042 Å, with angles of 90.00, 90.00 and 90.00 degrees. The distinct sites, in fractional coordinates, are Al at (0.0000, 0.0000, 0.0000), Sb at (0.5000, 0.5000, 0.5000), I at (0.0000, 0.5000, 0.5000) and N at (0.5000, 0.5000, 0.0000).

The mass density is 4.4 g cm⁻³. For the energy, the calculation gives -0.2405 Ry per atom. The energy above the lowest structure with this stoichiometry comes out at 309.9 meV/atom. For the total magnetic moment, the calculation gives 0.000 Bohr magnetons per cell. As for the formation energy from raw total energies: 586 meV/atom. The calculated volume comes out at 158.6 Å³ per cell.

=====

Here is an optimized crystal structure of Rb2TlO2 from Alexandria via LeMat-Bulk. Energies are from PBE-GGA.

The space group is C2/m (No. 12) and the conventional cell measures 12.3642, 5.9065 and 7.9203 Å, with angles of 90.00, 114.95 and 90.00 degrees. The distinct sites, in fractional coordinates, are Rb at (0.0068, 0.0000, 0.2372), Rb at (0.1656, 0.5000, 0.0798), Tl at (0.1548, 0.5000, 0.5968), O at (0.0021, 0.5000, 0.6941) and O at (0.1904, 0.0000, 0.1282).

The mass density is 5.2 g cm⁻³. For the energy, the calculation gives -0.2744 Ry per atom. The energy above the lowest structure with this stoichiometry comes out at 0.0 meV/atom. For the total magnetic moment, the calculation gives 0.000 Bohr magnetons per cell. As for the formation energy from raw total energies: -889 meV/atom. The calculated volume comes out at 524.4 Å³ per cell.

=====

Here is an optimized crystal structure of CePrGaSn from Alexandria via LeMat-Bulk. Energies are from PBE-GGA.

The space group is F-43m (No. 216) and the conventional cell measures 7.6046, 7.6046 and 7.6046 Å, with angles of 90.00, 90.00 and 90.00 degrees. The distinct sites, in fractional coordinates, are Ce at (0.0000, 0.0000, 0.0000), Pr at (0.0000, 0.0000, 0.5000), Ga at (0.2500, 0.2500, 0.7500) and Sn at (0.2500, 0.2500, 0.2500).

The mass density is 7.1 g cm⁻³. For the energy, the calculation gives -0.3634 Ry per atom. The energy above the lowest structure with this stoichiometry comes out at 0.0 meV/atom. The energy of formation from the pure elements comes out at -0.51 eV per atom. For the total magnetic moment, the calculation gives 5.073 Bohr magnetons per cell. The calculated volume comes out at 439.8 Å³ per cell.

=====

Here is an optimized crystal structure of Ce6InPb5 from Alexandria via LeMat-Bulk. Energies are from PBE-GGA.

The space group is C2/m (No. 12) and the conventional cell measures 7.9166, 13.5889 and 7.9216 Å, with angles of 90.00, 109.07 and 90.00 degrees. The distinct sites, in fractional coordinates, are Ce at (0.2440, 0.0000, 0.2515), Ce at (0.2451, 0.1697, 0.7458), In at (0.0000, 0.5000, 0.0000), Pb at (0.0000, 0.0000, 0.5000), Pb at (0.0000, 0.1678, 0.0000) and Pb at (0.0000, 0.3374, 0.5000).

The mass density is 8.2 g cm⁻³. For the energy, the calculation gives -0.3646 Ry per atom. The energy of formation from the pure elements comes out at -0.22 eV per atom. For the total magnetic moment, the calculation gives 6.879 Bohr magnetons per cell. The calculated volume comes out at 805.4 Å³ per cell.

=====

Question: Which of these has the lowest mass density?
Answer: AlSbI2N